{"formula": "VCdH", "functional": "GGA-PBE", "state": "optimized geometry", "polymorph_energy_mev_per_atom": 203, "dos_ef_per_ev_fu": 1.7, "lattice_angstrom": [[4.122, 0.000, 0.000], [0.000, 3.045, 0.000], [0.000, 0.000, 13.310]], "species": ["V", "V", "V", "V", "Cd", "Cd", "Cd", "Cd", "H", "H", "H", "H"], "frac_coords": [[0.235, 0.250, 0.016], [0.265, 0.750, 0.516], [0.735, 0.250, 0.484], [0.765, 0.750, 0.984], [0.194, 0.250, 0.326], [0.306, 0.750, 0.826], [0.694, 0.250, 0.174], [0.806, 0.750, 0.674], [0.083, 0.750, 0.076], [0.417, 0.250, 0.576], [0.583, 0.750, 0.424], [0.917, 0.250, 0.924]]}

{"formula": "Ba2Pb", "functional": "GGA-PBE", "state": "optimized geometry", "dos_ef_per_ev_fu": 1.3, "lattice_angstrom": [[2.244, -9.431, 0.000], [2.244, 9.431, 0.000], [0.000, 0.000, 6.032]], "species": ["Ba", "Ba", "Ba", "Ba", "Pb", "Pb"], "frac_coords": [[0.054, 0.946, 0.750], [0.268, 0.732, 0.250], [0.732, 0.268, 0.750], [0.946, 0.054, 0.250], [0.388, 0.612, 0.750], [0.612, 0.388, 0.250]]}

{"formula": "Sr2TlCrS", "functional": "GGA-PBE", "state": "optimized geometry", "raw_formation_energy_mev_per_atom": -81, "dos_ef_per_ev_fu": 6.7, "lattice_angstrom": [[6.254, 0.000, 0.000], [0.000, 6.254, 0.000], [0.000, 0.000, 4.330]], "species": ["Sr", "Sr", "Tl", "Cr", "S"], "frac_coords": [[0.000, 0.500, 0.000], [0.500, 0.000, 0.000], [0.000, 0.000, 0.500], [0.500, 0.500, 0.000], [0.500, 0.500, 0.500]]}

{"formula": "Be2CdPt", "functional": "GGA-PBE", "state": "optimized geometry", "dos_ef_per_ev_fu": 1.0, "lattice_angstrom": [[2.990, 0.000, 0.000], [0.000, 3.026, 0.000], [0.000, 0.000, 5.914]], "species": ["Be", "Be", "Cd", "Pt"], "frac_coords": [[0.000, 0.000, 0.197], [0.000, 0.000, 0.803], [0.500, 0.500, 0.500], [0.500, 0.500, 0.000]]}

no.,electronic total energy (eV/atom)
1,-4.290
2,-2.885
3,-3.978
4,-3.826